Entry 1:
Here is an optimized crystal structure of TaIrSe4 from Alexandria via LeMat-Bulk. Energies are from PBE.

abc: 7.1622 7.1622 5.8958
angles: 101.62 101.62 29.34
With the nearest neighbours (Å) after each atom.
Element x y z (fractional)
Ta  0.0000  0.0000  0.0000  6 Se 2.47-2.72
Ir  0.4910  0.4910  0.6003  6 Se 2.52-2.56
Se  0.0895  0.0895  0.4571  2 Ir 2.52, 1 Ta 2.72
Se  0.3951  0.3951  0.1804  1 Ir 2.55, 2 Ta 2.68
Se  0.6279  0.6279  0.9638  1 Ir 2.55, 2 Ta 2.58
Se  0.8664  0.8664  0.6500  1 Ta 2.47, 2 Ir 2.56

The calculation puts the energy above the lowest structure with this stoichiometry at 0.000 eV/f.u. The total energy is -6.420 eV/atom. The space group is Cm, No. 8. The value obtained for the calculated density is 7.89 g/cm³.

Entry 2:
Here is an optimized crystal structure of Ta2IrSe from Alexandria via LeMat-Bulk. Energies are from PBE.

abc: 2.9528 4.0534 5.7439
angles: 90.00 102.68 90.00
With the nearest neighbours (Å) after each atom.
Element x y z (fractional)
Ta  0.0588  0.0000  0.2469  2 Se 2.66, 3 Ta 2.78-2.95, 4 Ir 2.80-2.94
Ta  0.9412  0.0000  0.7531  2 Se 2.66, 3 Ta 2.78-2.95, 4 Ir 2.80-2.94
Ir  0.5000  0.5000  0.0000  8 Ta 2.80-2.94, 2 Se 2.87, 2 Ir 2.95
Se  0.5000  0.5000  0.5000  4 Ta 2.66, 2 Ir 2.87, 2 Se 2.95

The total energy is -9.175 eV/atom. The space group is P2/m, No. 10. The value obtained for the calculated density is 15.67 g/cm³.

Entry 3:
Here is an optimized crystal structure of TaIrSe2 from Alexandria via LeMat-Bulk. Energies are from PBE.

abc: 6.8591 6.8591 6.8591
angles: 130.40 130.40 72.77
With the nearest neighbours (Å) after each atom.
Element x y z (fractional)
Ta  0.0000  0.0000  0.0000  4 Se 2.50
Ta  0.7500  0.2500  0.5000  4 Se 2.50
Ir  0.2500  0.7500  0.5000  4 Se 2.42
Ir  0.5000  0.5000  0.0000  4 Se 2.42
Se  0.1357  0.6250  0.0107  2 Ir 2.42, 2 Ta 2.50
Se  0.3750  0.3857  0.5107  2 Ir 2.42, 2 Ta 2.50
Se  0.6143  0.1250  0.9893  2 Ir 2.42, 2 Ta 2.50
Se  0.8750  0.8643  0.4893  2 Ir 2.42, 2 Ta 2.50

The calculation puts the energy above the lowest structure with this stoichiometry at 2.521 eV/f.u. The total energy is -6.682 eV/atom. The space group is I-42d, No. 122. The value obtained for the calculated density is 9.65 g/cm³.

Entry 4:
Here is an optimized crystal structure of Tb3IrSe2 from Alexandria via LeMat-Bulk. Energies are from PBE.

abc: 7.1785 7.1785 6.9908
angles: 99.95 99.95 118.66
With the nearest neighbours (Å) after each atom.
Element x y z (fractional)
Tb  0.0000  0.5000  0.0000  2 Ir 2.86, 4 Se 2.92-2.93
Tb  0.1476  0.2969  0.4950  2 Ir 2.79-2.80, 4 Se 2.93-3.07
Tb  0.2969  0.1476  0.9950  2 Ir 2.79-2.80, 4 Se 2.93-3.07
Tb  0.5000  0.0000  0.5000  2 Ir 2.86, 4 Se 2.92-2.93
Tb  0.7031  0.8524  0.0050  2 Ir 2.79-2.80, 4 Se 2.93-3.07
Tb  0.8524  0.7031  0.5050  2 Ir 2.79-2.80, 4 Se 2.93-3.07
Ir  0.0887  0.9113  0.2500  6 Tb 2.79-2.86
Ir  0.9113  0.0887  0.7500  6 Tb 2.79-2.86
Se  0.2580  0.7420  0.7500  6 Tb 2.93-3.02
Se  0.4181  0.5819  0.2500  6 Tb 2.92-3.07
Se  0.5819  0.4181  0.7500  6 Tb 2.92-3.07
Se  0.7420  0.2580  0.2500  6 Tb 2.93-3.02

The calculation puts the energy above the lowest structure with this stoichiometry at 0.155 eV/f.u. The total energy is -6.389 eV/atom. The space group is C2/c, No. 15. The value obtained for the calculated density is 9.23 g/cm³.

Entry 5:
Here is an optimized crystal structure of Tb5Ir2Se2 from Alexandria via LeMat-Bulk. Energies are from PBE.

abc: 8.4158 8.4158 7.6716
angles: 90.00 90.00 54.42
With the nearest neighbours (Å) after each atom.
Element x y z (fractional)
Tb  0.0000  0.0000  0.0000  4 Ir 2.97-2.98, 2 Se 3.09
Tb  0.0372  0.7139  0.6570  3 Ir 2.88-2.97, 3 Se 3.06-3.16
Tb  0.2139  0.5372  0.1570  3 Ir 2.88-2.97, 3 Se 3.06-3.16
Tb  0.2861  0.9628  0.6570  3 Ir 2.88-2.97, 3 Se 3.06-3.16
Tb  0.4628  0.7861  0.1570  3 Ir 2.88-2.97, 3 Se 3.06-3.16
Tb  0.5000  0.5000  0.5000  4 Ir 2.97-2.98, 2 Se 3.09
Tb  0.5372  0.2139  0.8430  3 Ir 2.88-2.97, 3 Se 3.06-3.16
Tb  0.7139  0.0372  0.3430  3 Ir 2.88-2.97, 3 Se 3.06-3.16
Tb  0.7861  0.4628  0.8430  3 Ir 2.88-2.97, 3 Se 3.06-3.16
Tb  0.9628  0.2861  0.3430  3 Ir 2.88-2.97, 3 Se 3.06-3.16
Ir  0.1388  0.8612  0.3623  8 Tb 2.88-2.98, 1 Ir 3.00
Ir  0.3612  0.6388  0.8623  8 Tb 2.88-2.98, 1 Ir 3.00
Ir  0.6388  0.3612  0.1377  8 Tb 2.88-2.98, 1 Ir 3.00
Ir  0.8612  0.1388  0.6377  8 Tb 2.88-2.98, 1 Ir 3.00
Se  0.2067  0.2067  0.0000  7 Tb 3.06-3.16
Se  0.2933  0.2933  0.5000  7 Tb 3.06-3.16
Se  0.7067  0.7067  0.5000  7 Tb 3.06-3.16
Se  0.7933  0.7933  0.0000  7 Tb 3.06-3.16

The total energy is -6.510 eV/atom. The space group is Cmce, No. 64. The value obtained for the calculated density is 10.05 g/cm³.

Entry 6:
Here is an optimized crystal structure of Tb4Ir2Se from Alexandria via LeMat-Bulk. Energies are from PBE.

abc: 7.5984 7.5984 7.5984
angles: 109.49 109.49 109.44
With the nearest neighbours (Å) after each atom.
Element x y z (fractional)
Tb  0.0075  0.7587  0.1164  2 Ir 2.73-2.87, 1 Se 2.92
Tb  0.1077  0.4913  0.7488  2 Ir 2.73-2.87, 1 Se 2.92
Tb  0.1089  0.9925  0.7512  2 Ir 2.73-2.87, 1 Se 2.92
Tb  0.2413  0.3577  0.2488  2 Ir 2.73-2.87, 1 Se 2.92
Tb  0.5087  0.2575  0.6164  2 Ir 2.73-2.87, 1 Se 2.92
Tb  0.6411  0.8923  0.3836  2 Ir 2.73-2.87, 1 Se 2.92
Tb  0.6423  0.8911  0.8836  2 Ir 2.73-2.87, 1 Se 2.92
Tb  0.7425  0.3589  0.2512  2 Ir 2.73-2.87, 1 Se 2.92
Ir  0.3750  0.0111  0.1361  4 Tb 2.73-2.87
Ir  0.7611  0.6250  0.6361  4 Tb 2.73-2.87
Ir  0.8750  0.2389  0.8639  4 Tb 2.73-2.87
Ir  0.9889  0.1250  0.3639  4 Tb 2.73-2.87
Se  0.2500  0.7500  0.5000  4 Tb 2.92
Se  0.5000  0.5000  0.0000  4 Tb 2.92

The total energy is -6.634 eV/atom. The space group is I-42d, No. 122. The value obtained for the calculated density is 10.81 g/cm³.